Ho5Mg2Ge4: relaxed, GGA-PBE.

a b c (Å): 20.0866 4.1312 7.1699
angles (deg): 90.00 110.88 90.00
Space group C2/m (No. 12)
Unique sites:
1 Ho 0.0000 0.0000 0.0000
2 Ho 0.1637 0.5000 0.4017
3 Ho 0.1637 0.5000 0.9258
4 Mg 0.0730 0.0000 0.5735
5 Ge 0.0000 0.5000 0.2978
6 Ge 0.2113 0.0000 0.7113

Computed properties:
Mass density (kg/m3): 6953
Raw total energy (eV/atom): -4.486



Ho2MgGe: relaxed, GGA-PBE.

a b c (Å): 4.4730 4.4730 18.8362
angles (deg): 90.00 90.00 120.00
Space group R-3m (No. 166, hexagonal axes)
Unique sites:
1 Ho 0.0000 0.0000 0.2349
2 Mg 0.0000 0.0000 0.0000
3 Ge 0.0000 0.0000 0.5000

Computed properties:
Mass density (kg/m3): 6514
Raw total energy (eV/atom): -4.117



HoMgGe2: relaxed, GGA-PBE.

a b c (Å): 3.3382 3.3382 26.8728
angles (deg): 90.00 90.00 120.00
Space group R-3m (No. 166, hexagonal axes)
Unique sites:
1 Ho 0.0000 0.0000 0.0000
2 Mg 0.0000 0.0000 0.5000
3 Ge 0.0000 0.0000 0.2456

Computed properties:
Mass density (kg/m3): 6426
Raw total energy (eV/atom): -4.081



HoMgGe: relaxed, GGA-PBE.

a b c (Å): 4.1688 4.1688 15.2356
angles (deg): 90.00 90.00 90.00
Space group I4/mmm (No. 139)
Unique sites:
1 Ho 0.0000 0.0000 0.1702
2 Mg 0.0000 0.5000 0.0000
3 Ge 0.0000 0.0000 0.3642

Computed properties:
Mass density (kg/m3): 6569
Raw total energy (eV/atom): -4.252



HoMgGe: relaxed, GGA-PBE.

a b c (Å): 5.1650 5.6805 5.6963
angles (deg): 90.00 90.00 90.00
Space group Amm2 (No. 38)
Unique sites:
1 Ho 0.0000 0.0000 0.0000
2 Mg 0.5000 0.0000 0.5529
3 Ge 0.0000 0.0000 0.4979

Computed properties:
Mass density (kg/m3): 5204
Raw total energy (eV/atom): -3.867



HoMgGe2: relaxed, GGA-PBE.

a b c (Å): 3.5834 3.5834 6.4344
angles (deg): 90.00 90.00 90.00
Space group P4/mmm (No. 123)
Unique sites:
1 Ho 0.0000 0.0000 0.0000
2 Mg 0.0000 0.0000 0.5000
3 Ge 0.5000 0.5000 0.2808

Computed properties:
Mass density (kg/m3): 6723
Raw total energy (eV/atom): -4.205



Ho2MgGe: relaxed, GGA-PBE.

a b c (Å): 4.7628 4.7628 4.1566
angles (deg): 90.00 90.00 90.00
Space group P4/mmm (No. 123)
Unique sites:
1 Ho 0.0000 0.5000 0.0000
2 Mg 0.0000 0.0000 0.5000
3 Ge 0.5000 0.5000 0.5000

Computed properties:
Mass density (kg/m3): 7517
Raw total energy (eV/atom): -4.229



HoMgNi2Ge2: relaxed, GGA-PBE.

a b c (Å): 4.1485 4.1485 6.6375
angles (deg): 90.00 90.00 120.00
Space group P-3m1 (No. 164)
Unique sites:
1 Ho 0.0000 0.0000 0.0000
2 Mg 0.0000 0.0000 0.5000
3 Ni 0.3333 0.6667 0.6835
4 Ge 0.3333 0.6667 0.2768

Computed properties:
Mass density (kg/m3): 7585
Raw total energy (eV/atom): -5.085



Ho2MgNi3Ge4: relaxed, GGA-PBE.

a b c (Å): 4.0531 4.0531 10.3743
angles (deg): 90.00 90.00 90.00
Space group P-4m2 (No. 115)
Unique sites:
1 Ho 0.0000 0.5000 0.2364
2 Mg 0.0000 0.0000 0.5000
3 Ni 0.0000 0.5000 0.8787
4 Ni 0.5000 0.5000 0.5000
5 Ge 0.0000 0.0000 0.0000
6 Ge 0.0000 0.5000 0.6542
7 Ge 0.5000 0.5000 0.0000

Computed properties:
Mass density (kg/m3): 7998
Raw total energy (eV/atom): -5.277



Ho2MgGe3Pd4: relaxed, GGA-PBE.

a b c (Å): 4.1272 4.1272 11.0375
angles (deg): 90.00 90.00 90.00
Space group P-4m2 (No. 115)
Unique sites:
1 Ho 0.0000 0.5000 0.2375
2 Mg 0.0000 0.0000 0.5000
3 Ge 0.0000 0.5000 0.8668
4 Ge 0.5000 0.5000 0.5000
5 Pd 0.0000 0.0000 0.0000
6 Pd 0.0000 0.5000 0.6470
7 Pd 0.5000 0.5000 0.0000

Computed properties:
Mass density (kg/m3): 8813
Raw total energy (eV/atom): -5.312



HoMgGePd: relaxed, GGA-PBE.

a b c (Å): 6.7813 6.7813 6.7813
angles (deg): 90.00 90.00 90.00
Space group F-43m (No. 216)
Unique sites:
1 Ho 0.0000 0.0000 0.0000
2 Mg 0.0000 0.0000 0.5000
3 Ge 0.2500 0.2500 0.7500
4 Pd 0.2500 0.2500 0.2500

Computed properties:
Mass density (kg/m3): 7844
Raw total energy (eV/atom): -4.661



HoMgGe2Pd2: relaxed, GGA-PBE.

a b c (Å): 4.3460 4.3460 6.7110
angles (deg): 90.00 90.00 120.00
Space group P-3m1 (No. 164)
Unique sites:
1 Ho 0.0000 0.0000 0.0000
2 Mg 0.0000 0.0000 0.5000
3 Ge 0.3333 0.6667 0.2606
4 Pd 0.3333 0.6667 0.6846

Computed properties:
Mass density (kg/m3): 8280
Raw total energy (eV/atom): -5.044



HoMgGePt: relaxed, GGA-PBE.

a b c (Å): 6.7844 6.7844 6.7844
angles (deg): 90.00 90.00 90.00
Space group F-43m (No. 216)
Unique sites:
1 Ho 0.0000 0.0000 0.0000
2 Mg 0.0000 0.0000 0.5000
3 Ge 0.2500 0.2500 0.2500
4 Pt 0.2500 0.2500 0.7500

Computed properties:
Mass density (kg/m3): 9720
Raw total energy (eV/atom): -4.966



HoMgGe2Pt5: relaxed, GGA-PBE.

a b c (Å): 4.1466 4.1466 8.9744
angles (deg): 90.00 90.00 90.00
Space group P4/mmm (No. 123)
Unique sites:
1 Ho 0.0000 0.0000 0.0000
2 Mg 0.0000 0.0000 0.5000
3 Ge 0.5000 0.5000 0.1342
4 Pt 0.0000 0.5000 0.2819
5 Pt 0.5000 0.5000 0.5000

Computed properties:
Mass density (kg/m3): 14096
Raw total energy (eV/atom): -5.834



Ho2MgGe3Pt4: relaxed, GGA-PBE.

a b c (Å): 4.1445 4.1445 10.9823
angles (deg): 90.00 90.00 90.00
Space group P-4m2 (No. 115)
Unique sites:
1 Ho 0.0000 0.5000 0.2412
2 Mg 0.0000 0.0000 0.5000
3 Ge 0.0000 0.5000 0.8661
4 Ge 0.5000 0.5000 0.5000
5 Pt 0.0000 0.0000 0.0000
6 Pt 0.0000 0.5000 0.6470
7 Pt 0.5000 0.5000 0.0000

Computed properties:
Mass density (kg/m3): 11905
Raw total energy (eV/atom): -5.776



HoMgGe2Rh2: relaxed, GGA-PBE.

a b c (Å): 4.2865 4.2865 6.6144
angles (deg): 90.00 90.00 120.00
Space group P-3m1 (No. 164)
Unique sites:
1 Ho 0.0000 0.0000 0.0000
2 Mg 0.0000 0.0000 0.5000
3 Ge 0.3333 0.6667 0.2579
4 Rh 0.3333 0.6667 0.6479

Computed properties:
Mass density (kg/m3): 8525
Raw total energy (eV/atom): -5.792



Ho2MgGe2Rh5: relaxed, GGA-PBE.

a b c (Å): 9.8336 9.8336 3.5579
angles (deg): 90.00 90.00 90.00
Space group P4/mbm (No. 127)
Unique sites:
1 Ho 0.1731 0.3269 0.0000
2 Mg 0.0000 0.0000 0.0000
3 Ge 0.1261 0.6261 0.0000
4 Rh 0.0000 0.5000 0.5000
5 Rh 0.0677 0.7897 0.5000

Computed properties:
Mass density (kg/m3): 9788
Raw total energy (eV/atom): -6.468



Ho2MgGe3Rh4: relaxed, GGA-PBE.

a b c (Å): 4.0792 4.0792 10.8411
angles (deg): 90.00 90.00 90.00
Space group P-4m2 (No. 115)
Unique sites:
1 Ho 0.0000 0.5000 0.2399
2 Mg 0.0000 0.0000 0.5000
3 Ge 0.0000 0.5000 0.8717
4 Ge 0.5000 0.5000 0.5000
5 Rh 0.0000 0.0000 0.0000
6 Rh 0.0000 0.5000 0.6473
7 Rh 0.5000 0.5000 0.0000

Computed properties:
Mass density (kg/m3): 9055
Raw total energy (eV/atom): -6.215



TbHoMgGe: relaxed, GGA-PBE.

a b c (Å): 7.2578 7.2578 7.2578
angles (deg): 90.00 90.00 90.00
Space group F-43m (No. 216)
Unique sites:
1 Tb 0.0000 0.0000 0.0000
2 Ho 0.0000 0.0000 0.5000
3 Mg 0.2500 0.2500 0.7500
4 Ge 0.2500 0.2500 0.2500

Computed properties:
Mass density (kg/m3): 7311
Raw total energy (eV/atom): -4.207



Ho8MgGe3Te4: relaxed, GGA-PBE.

a b c (Å): 8.4843 8.4843 21.2520
angles (deg): 90.00 90.00 120.00
Space group R-3m (No. 166, hexagonal axes)
Unique sites:
1 Ho 0.0000 0.0000 0.2385
2 Ho 0.0180 0.5090 0.7557
3 Mg 0.0000 0.0000 0.5000
4 Ge 0.0000 0.5000 0.5000
5 Te 0.0000 0.0000 0.0000
6 Te 0.0000 0.5000 0.0000

Computed properties:
Mass density (kg/m3): 7791
Raw total energy (eV/atom): -5.015
Formation energy from raw total energies (meV/atom): -975.6



YHoMgGe: relaxed, GGA-PBE.

a b c (Å): 7.2539 7.2539 7.2539
angles (deg): 90.00 90.00 90.00
Space group F-43m (No. 216)
Unique sites:
1 Y 0.0000 0.0000 0.0000
2 Ho 0.0000 0.0000 0.5000
3 Mg 0.2500 0.2500 0.2500
4 Ge 0.2500 0.2500 0.7500

Computed properties:
Mass density (kg/m3): 6104
Raw total energy (eV/atom): -4.672



HoMg2Zn2Ge2: relaxed, GGA-PBE.

a b c (Å): 4.5052 4.5052 22.9179
angles (deg): 90.00 90.00 120.00
Space group R-3m (No. 166, hexagonal axes)
Unique sites:
1 Ho 0.0000 0.0000 0.0000
2 Mg 0.0000 0.0000 0.1383
3 Zn 0.0000 0.0000 0.4351
4 Ge 0.0000 0.0000 0.2603

Computed properties:
Mass density (kg/m3): 6055
Raw total energy (eV/atom): -3.027



HoMnGe2: relaxed, GGA-PBE.

a b c (Å): 4.1082 4.1082 15.4123
angles (deg): 90.00 90.00 120.00
Space group R-3m (No. 166, hexagonal axes)
Unique sites:
1 Ho 0.0000 0.0000 0.0000
2 Mn 0.0000 0.0000 0.5000
3 Ge 0.0000 0.0000 0.2245

Computed properties:
Mass density (kg/m3): 8075
Raw total energy (eV/atom): -6.204



HoMnGe2: relaxed, GGA-PBE.

a b c (Å): 5.5283 8.2193 18.7871
angles (deg): 90.00 90.00 90.00
Space group Immm (No. 71)
Unique sites:
1 Ho 0.0000 0.0000 0.1409
2 Ho 0.0000 0.2538 0.4051
3 Mn 0.0000 0.2570 0.0000
4 Mn 0.2500 0.2500 0.2500
5 Ge 0.0000 0.0000 0.2959
6 Ge 0.0000 0.3469 0.1405
7 Ge 0.0000 0.5000 0.2929
8 Ge 0.2347 0.0000 0.5000
9 Ge 0.2453 0.5000 0.5000

Computed properties:
Mass density (kg/m3): 8523
Raw total energy (eV/atom): -6.255